# BaScMoCl2 | Alexandria | PBE-GGA | optimized geometry
# energy relative to the elements, uncorrected = 2.0 eV/f.u.
# D(E_F) = 10.8 states/eV per cell
data_BaScMoCl2
_chemical_formula_sum 'Ba1 Sc1 Mo1 Cl2'
_space_group_name_H-M_alt 'P 4/m m m'
_space_group_IT_number 123
_space_group_name_Hall '-P 4 2'
_cell_length_a 5.700
_cell_length_b 5.700
_cell_length_c 7.192
_cell_angle_alpha 90.00
_cell_angle_beta 90.00
_cell_angle_gamma 90.00
loop_
_atom_site_label
_atom_site_fract_x
_atom_site_fract_y
_atom_site_fract_z
Ba1 0.000 0.000 0.000
Sc1 0.500 0.500 0.500
Mo1 0.000 0.000 0.500
Cl1 0.000 0.500 0.000

***

# BaSnMo2Cl | Alexandria | PBE-GGA | optimized geometry
# energy relative to the elements, uncorrected = 9.4 eV/f.u.
# D(E_F) = 3.6 states/eV per cell
data_BaSnMo2Cl
_chemical_formula_sum 'Ba1 Sn1 Mo2 Cl1'
_space_group_name_H-M_alt 'P 4/m m m'
_space_group_IT_number 123
_space_group_name_Hall '-P 4 2'
_cell_length_a 6.259
_cell_length_b 6.259
_cell_length_c 5.537
_cell_angle_alpha 90.00
_cell_angle_beta 90.00
_cell_angle_gamma 90.00
loop_
_atom_site_label
_atom_site_fract_x
_atom_site_fract_y
_atom_site_fract_z
Ba1 0.000 0.000 0.000
Sn1 0.500 0.500 0.500
Mo1 0.000 0.500 0.000
Cl1 0.000 0.000 0.500

***

# BaTl2MoCl8 | Alexandria | PBE-GGA | optimized geometry
# energy relative to the elements, uncorrected = -15.6 eV/f.u.
# D(E_F) = 5.8 states/eV per cell
data_BaTl2MoCl8
_chemical_formula_sum 'Ba1 Tl2 Mo1 Cl8'
_space_group_name_H-M_alt 'P -1'
_space_group_IT_number 2
_cell_length_a 6.507
_cell_length_b 7.334
_cell_length_c 8.757
_cell_angle_alpha 89.87
_cell_angle_beta 89.94
_cell_angle_gamma 87.11
loop_
_space_group_symop_operation_xyz
'x,y,z'
'-x,-y,-z'
loop_
_atom_site_label
_atom_site_fract_x
_atom_site_fract_y
_atom_site_fract_z
Ba1 0.000 0.000 0.000
Tl1 0.500 0.499 0.263
Mo1 0.000 0.000 0.500
Cl1 0.116 0.207 0.302
Cl2 0.119 0.205 0.697
Cl3 0.321 0.841 0.499
Cl4 0.385 0.745 0.000